(1)
Here is TaBCl3 after structural relaxation from the Alexandria database. Energies are from PBE-GGA.

a b c (Å): 4.4333 4.4333 4.4333
angles (deg): 90.00 90.00 90.00
Closest atoms and distances in Å follow each position.
Space group Pm-3m (No. 221)
Inequivalent atoms, fractional coordinates:
Ta: 0.0000 0.0000 0.0000 [1 per cell]  12 Cl 3.13
B: 0.5000 0.5000 0.5000 [1 per cell]  6 Cl 2.22
Cl: 0.0000 0.5000 0.5000 [3 per cell]  2 B 2.22

Formation energy (no corrections) (eV per atom): 1.067
Energy relative to the lowest polymorph listed for this composition (meV/atom): 537



(2)
Here is TaBCl2 after structural relaxation from the Alexandria database. Energies are from PBE-GGA.

a b c (Å): 3.1739 3.1739 24.7754
angles (deg): 90.00 90.00 120.00
Closest atoms and distances in Å follow each position.
Space group R-3m (No. 166, hexagonal axes)
Inequivalent atoms, fractional coordinates:
Ta: 0.0000 0.0000 0.0000 [3 per cell]  2 Cl 2.36
B: 0.0000 0.0000 0.5000 [3 per cell]  6 Cl 2.55
Cl: 0.0000 0.0000 0.0952 [6 per cell]  1 Ta 2.36, 3 B 2.55

Formation energy (no corrections) (eV per atom): 0.844
Energy relative to the lowest polymorph listed for this composition (meV/atom): 492